The following is a GGA-PBE calculation of an optimized crystal structure of CaNdSm3, from Alexandria via LeMat-Bulk.

Uncorrected energy (eV/atom): -4.004
Excess energy over the best structure of this formula in the dataset (eV/atom): 0.000
ΔH_f (0 K) (kJ/mol of formula units): 88

a b c (Å): 6.354 6.354 11.413
angles (deg): 89.99 89.99 128.66
Positions (direct):
1 Nd 0.863 0.137 0.000
2 Nd 0.137 0.863 0.000
3 Ca 0.344 0.656 0.500
4 Ca 0.656 0.344 0.500
5 Sm 0.347 0.653 0.805
6 Sm 0.000 0.000 0.685
7 Sm 0.000 0.000 0.315
8 Sm 0.347 0.653 0.195
9 Sm 0.653 0.347 0.195
10 Sm 0.653 0.347 0.805